LiCuPdPt | PBE | relaxed

Values from the calculation:
As for the space group: F-43m, No. 216. The crystal system is cubic. The calculation puts the formation energy at -297 meV per atom.

Cell lengths 4.2497, 4.2497, 4.2497 Å; angles 60.00, 60.00, 60.00 degrees
Fractional positions:
Li  0.0000  0.0000  0.0000
Cu  0.5000  0.5000  0.5000
Pd  0.7500  0.7500  0.7500
Pt  0.2500  0.2500  0.2500